CaPmAlAg: relaxed, PBE.

Cell and atoms, written as CIF:
```
data_CaPmAlAg
_symmetry_space_group_name_H-M 'P 4 m m'
_symmetry_Int_Tables_number 99
_cell_length_a 3.7063
_cell_length_b 3.7063
_cell_length_c 7.4636
_cell_angle_alpha 90.00
_cell_angle_beta 90.00
_cell_angle_gamma 90.00
loop_
_symmetry_equiv_pos_as_xyz
'x,y,z'
'-y,x,z'
'-x,-y,z'
'y,-x,z'
'-x,y,z'
'y,x,z'
'x,-y,z'
'-y,-x,z'
loop_
_atom_site_label
_atom_site_type_symbol
_atom_site_fract_x
_atom_site_fract_y
_atom_site_fract_z
Ca1 Ca 0.0000 0.0000 0.0000
Pm1 Pm 0.0000 0.0000 0.4960
Al1 Al 0.5000 0.5000 0.2586
Ag1 Ag 0.5000 0.5000 0.7489
```

Summary:
electronic total energy = -14.5 eV for the cell shown
ΔE to the lowest computed polymorph = 6 meV per atom
theoretical density = 5.2 Mg/m³
crystal system = tetragonal
ΔE_f = -28 kJ/mol of atoms